DFT (meta-GGA SCAN) results for a PBEsol-optimized structure of AlAg2AsN.

a b c (Å): 4.921 4.921 4.685
angles (deg): 90.00 90.00 90.00
Space group P4/mmm (No. 123)
Symmetry-distinct sites (fractional):
Al  0.000  0.000  0.000 [1 per cell]
Ag  0.000  0.500  0.000 [2 per cell]
As  0.000  0.000  0.500 [1 per cell]
N  0.500  0.500  0.500 [1 per cell]

Energy relative to the elements, uncorrected = 1.398 eV/atom

=====

DFT (meta-GGA SCAN) results for a PBEsol-optimized structure of AlAgAs2Rh.

a b c (Å): 4.750 4.750 4.638
angles (deg): 90.00 90.00 90.00
Space group P4/mmm (No. 123)
Symmetry-distinct sites (fractional):
Al  0.000  0.000  0.000 [1 per cell]
Ag  0.500  0.500  0.000 [1 per cell]
As  0.000  0.500  0.500 [2 per cell]
Rh  0.000  0.000  0.500 [1 per cell]

ΔH_f (0 K) = 352 meV per atom

=====

DFT (meta-GGA SCAN) results for a PBEsol-optimized structure of AlAgSbAs2.

a b c (Å): 4.838 4.838 5.481
angles (deg): 90.00 90.00 90.00
Space group P4/mmm (No. 123)
Symmetry-distinct sites (fractional):
Al  0.000  0.000  0.000 [1 per cell]
Ag  0.500  0.500  0.500 [1 per cell]
Sb  0.500  0.500  0.000 [1 per cell]
As  0.000  0.500  0.500 [2 per cell]

Energy relative to the elements, uncorrected = 0.958 eV/atom

=====

DFT (meta-GGA SCAN) results for a PBEsol-optimized structure of AlAg2Au.

a b c (Å): 3.902 3.902 8.482
angles (deg): 90.00 90.00 90.00
Space group I4/mmm (No. 139)
Symmetry-distinct sites (fractional):
Al  0.000  0.000  0.000 [2 per cell]
Ag  0.000  0.500  0.250 [4 per cell]
Au  0.000  0.000  0.500 [2 per cell]

ΔH_f (0 K) = -232 meV per atom

=====

DFT (meta-GGA SCAN) results for a PBEsol-optimized structure of AlAg2Au.

a b c (Å): 3.644 4.101 8.635
angles (deg): 90.00 90.00 90.00
Space group Immm (No. 71)
Symmetry-distinct sites (fractional):
Al  0.000  0.000  0.000 [2 per cell]
Ag  0.000  0.500  0.260 [4 per cell]
Au  0.000  0.000  0.500 [2 per cell]

ΔH_f (0 K) = -235 meV per atom

=====

DFT (meta-GGA SCAN) results for a PBEsol-optimized structure of AlAg2Au.

a b c (Å): 3.792 4.213 8.109
angles (deg): 90.00 90.00 90.00
Space group Imm2 (No. 44)
Symmetry-distinct sites (fractional):
Al  0.000  0.000  0.000 [2 per cell]
Ag  0.000  0.000  0.493 [2 per cell]
Ag  0.000  0.500  0.256 [2 per cell]
Au  0.000  0.500  0.732 [2 per cell]

ΔH_f (0 K) = -215 meV per atom

=====

DFT (meta-GGA SCAN) results for a PBEsol-optimized structure of AlAg2Au.

a b c (Å): 4.024 4.024 7.975
angles (deg): 90.00 90.00 90.00
Space group I-4m2 (No. 119)
Symmetry-distinct sites (fractional):
Al  0.000  0.000  0.000 [2 per cell]
Ag  0.000  0.000  0.500 [2 per cell]
Ag  0.000  0.500  0.750 [2 per cell]
Au  0.000  0.500  0.250 [2 per cell]

ΔH_f (0 K) = -213 meV per atom

=====

DFT (meta-GGA SCAN) results for a PBEsol-optimized structure of AlAgAu.

a b c (Å): 3.299 3.299 8.839
angles (deg): 90.00 90.00 90.00
Space group I4mm (No. 107)
Symmetry-distinct sites (fractional):
Al  0.000  0.000  0.000 [2 per cell]
Ag  0.000  0.000  0.666 [2 per cell]
Au  0.000  0.000  0.351 [2 per cell]

ΔH_f (0 K) = -333 meV per atom

=====

DFT (meta-GGA SCAN) results for a PBEsol-optimized structure of Al2AgAu2.

a b c (Å): 7.541 7.541 3.056
angles (deg): 90.00 90.00 90.00
Space group P4/mbm (No. 127)
Symmetry-distinct sites (fractional):
Al  0.161  0.339  0.000 [4 per cell]
Ag  0.000  0.000  0.500 [2 per cell]
Au  0.139  0.639  0.500 [4 per cell]

ΔH_f (0 K) = -382 meV per atom

=====

DFT (meta-GGA SCAN) results for a PBEsol-optimized structure of AlAg2Au.

a b c (Å): 9.713 3.108 4.531
angles (deg): 90.00 109.06 90.00
Space group C2/m (No. 12)
Symmetry-distinct sites (fractional):
Al  0.000  0.000  0.000 [2 per cell]
Ag  0.237  0.500  0.239 [4 per cell]
Au  0.000  0.500  0.500 [2 per cell]

ΔH_f (0 K) = -229 meV per atom

=====

DFT (meta-GGA SCAN) results for a PBEsol-optimized structure of AlAgAu.

a b c (Å): 4.4359 4.4359 2.8788
angles (deg): 90.00 90.00 120.00
Space group P-6m2 (No. 187)
Symmetry-distinct sites (fractional):
Al  0.0000  0.0000  0.0000 [1 per cell]
Ag  0.6667  0.3333  0.5000 [1 per cell]
Au  0.3333  0.6667  0.0000 [1 per cell]

ΔH_f (0 K) = -285 meV per atom

=====

DFT (meta-GGA SCAN) results for a PBEsol-optimized structure of AlAg2Au.

a b c (Å): 3.061 3.441 6.150
angles (deg): 90.00 90.00 90.00
Space group Pmm2 (No. 25)
Symmetry-distinct sites (fractional):
Al  0.000  0.000  0.000 [1 per cell]
Ag  0.000  0.000  0.495 [1 per cell]
Ag  0.500  0.500  0.754 [1 per cell]
Au  0.500  0.500  0.220 [1 per cell]

ΔH_f (0 K) = -223 meV per atom

=====

DFT (meta-GGA SCAN) results for a PBEsol-optimized structure of AlAg2Au.

a b c (Å): 2.926 2.926 7.597
angles (deg): 90.00 90.00 90.00
Space group P4/mmm (No. 123)
Symmetry-distinct sites (fractional):
Al  0.000  0.000  0.000 [1 per cell]
Ag  0.500  0.500  0.236 [2 per cell]
Au  0.000  0.000  0.500 [1 per cell]

ΔH_f (0 K) = -111 meV per atom

=====

DFT (meta-GGA SCAN) results for a PBEsol-optimized structure of AlAg2Au.

a b c (Å): 5.055 2.933 9.018
angles (deg): 90.00 101.13 90.00
Space group Cm (No. 8)
Symmetry-distinct sites (fractional):
Al  0.000  0.000  0.000 [2 per cell]
Ag  0.001  0.500  0.502 [2 per cell]
Ag  0.248  0.500  0.240 [2 per cell]
Au  0.254  0.000  0.768 [2 per cell]

ΔH_f (0 K) = -165 meV per atom

=====

DFT (meta-GGA SCAN) results for a PBEsol-optimized structure of AlAg2Au2.

a b c (Å): 3.649 3.649 13.885
angles (deg): 90.00 90.00 90.00
Space group I4/mmm (No. 139)
Symmetry-distinct sites (fractional):
Al  0.000  0.000  0.000 [2 per cell]
Ag  0.000  0.500  0.250 [4 per cell]
Au  0.000  0.000  0.405 [4 per cell]

ΔH_f (0 K) = 42 meV per atom

=====

DFT (meta-GGA SCAN) results for a PBEsol-optimized structure of Al3AgAu.

a b c (Å): 4.746 4.746 4.746
angles (deg): 90.00 90.00 90.00
Space group Pm-3m (No. 221)
Symmetry-distinct sites (fractional):
Al  0.000  0.000  0.500 [3 per cell]
Ag  0.000  0.000  0.000 [1 per cell]
Au  0.500  0.500  0.500 [1 per cell]

ΔH_f (0 K) = 432 meV per atom

=====

DFT (meta-GGA SCAN) results for a PBEsol-optimized structure of AlAg2Au.

a b c (Å): 6.374 6.374 6.374
angles (deg): 90.00 90.00 90.00
Space group F-43m (No. 216)
Symmetry-distinct sites (fractional):
Al  0.000  0.000  0.000 [4 per cell]
Ag  0.000  0.000  0.500 [4 per cell]
Ag  0.250  0.250  0.750 [4 per cell]
Au  0.250  0.250  0.250 [4 per cell]

ΔH_f (0 K) = -216 meV per atom

=====

DFT (meta-GGA SCAN) results for a PBEsol-optimized structure of AlAg2Au.

a b c (Å): 3.926 3.926 4.206
angles (deg): 90.00 90.00 90.00
Space group P4/mmm (No. 123)
Symmetry-distinct sites (fractional):
Al  0.000  0.000  0.000 [1 per cell]
Ag  0.000  0.500  0.500 [2 per cell]
Au  0.500  0.500  0.000 [1 per cell]

ΔH_f (0 K) = -212 meV per atom

=====

DFT (meta-GGA SCAN) results for a PBEsol-optimized structure of AlAg2Au.

a b c (Å): 9.484 3.042 4.739
angles (deg): 90.00 107.94 90.00
Space group Cm (No. 8)
Symmetry-distinct sites (fractional):
Al  0.000  0.000  0.000 [2 per cell]
Ag  0.235  0.500  0.287 [2 per cell]
Ag  0.498  0.000  0.509 [2 per cell]
Au  0.266  0.000  0.811 [2 per cell]

ΔH_f (0 K) = -207 meV per atom

=====

DFT (meta-GGA SCAN) results for a PBEsol-optimized structure of AlAg2Au.

a b c (Å): 3.242 3.242 6.168
angles (deg): 90.00 90.00 90.00
Space group P4mm (No. 99)
Symmetry-distinct sites (fractional):
Al  0.000  0.000  0.000 [1 per cell]
Ag  0.000  0.000  0.494 [1 per cell]
Ag  0.500  0.500  0.754 [1 per cell]
Au  0.500  0.500  0.219 [1 per cell]

ΔH_f (0 K) = -227 meV per atom

=====

DFT (meta-GGA SCAN) results for a PBEsol-optimized structure of LaAl2AgAu.

a b c (Å): 4.776 4.776 5.081
angles (deg): 90.00 90.00 90.00
Space group P4/mmm (No. 123)
Symmetry-distinct sites (fractional):
La  0.000  0.000  0.000 [1 per cell]
Al  0.000  0.500  0.500 [2 per cell]
Ag  0.500  0.500  0.500 [1 per cell]
Au  0.500  0.500  0.000 [1 per cell]

ΔH_f (0 K) = -111 meV per atom

=====

DFT (meta-GGA SCAN) results for a PBEsol-optimized structure of AlAg2B.

a b c (Å): 6.067 6.067 6.067
angles (deg): 90.00 90.00 90.00
Space group Fm-3m (No. 225)
Symmetry-distinct sites (fractional):
Al  0.000  0.000  0.000 [4 per cell]
Ag  0.250  0.250  0.250 [8 per cell]
B  0.000  0.000  0.500 [4 per cell]

ΔH_f (0 K) = 738 meV per atom

=====

DFT (meta-GGA SCAN) results for a PBEsol-optimized structure of AlAgB3.

a b c (Å): 4.143 4.143 4.143
angles (deg): 90.00 90.00 90.00
Space group Pm-3m (No. 221)
Symmetry-distinct sites (fractional):
Al  0.000  0.000  0.000 [1 per cell]
Ag  0.500  0.500  0.500 [1 per cell]
B  0.000  0.500  0.500 [3 per cell]

ΔH_f (0 K) = 2040 meV per atom

=====

DFT (meta-GGA SCAN) results for a PBEsol-optimized structure of Al3AgB.

a b c (Å): 4.722 4.722 4.722
angles (deg): 90.00 90.00 90.00
Space group Pm-3m (No. 221)
Symmetry-distinct sites (fractional):
Al  0.000  0.000  0.500 [3 per cell]
Ag  0.000  0.000  0.000 [1 per cell]
B  0.500  0.500  0.500 [1 per cell]

ΔH_f (0 K) = 1287 meV per atom

=====

DFT (meta-GGA SCAN) results for a PBEsol-optimized structure of AlNi2AgB.

a b c (Å): 4.562 4.562 4.558
angles (deg): 90.00 90.00 90.00
Space group P4/mmm (No. 123)
Symmetry-distinct sites (fractional):
Al  0.000  0.000  0.000 [1 per cell]
Ni  0.000  0.500  0.500 [2 per cell]
Ag  0.000  0.000  0.500 [1 per cell]
B  0.500  0.500  0.000 [1 per cell]

ΔH_f (0 K) = 1906 meV per atom

=====

DFT (meta-GGA SCAN) results for a PBEsol-optimized structure of BaAlAg2.

a b c (Å): 3.331 3.331 7.944
angles (deg): 90.00 90.00 90.00
Space group P4/mmm (No. 123)
Symmetry-distinct sites (fractional):
Ba  0.000  0.000  0.000 [1 per cell]
Al  0.000  0.000  0.500 [1 per cell]
Ag  0.500  0.500  0.320 [2 per cell]

ΔH_f (0 K) = -28 meV per atom

=====

DFT (meta-GGA SCAN) results for a PBEsol-optimized structure of BaAlAg2.

a b c (Å): 4.5605 4.5605 17.2884
angles (deg): 90.00 90.00 120.00
Space group R-3m (No. 166, hexagonal axes)
Symmetry-distinct sites (fractional):
Ba  0.0000  0.0000  0.0000 [3 per cell]
Al  0.0000  0.0000  0.5000 [3 per cell]
Ag  0.0000  0.0000  0.1947 [6 per cell]

ΔH_f (0 K) = -299 meV per atom

=====

DFT (meta-GGA SCAN) results for a PBEsol-optimized structure of BeAlAg3.

a b c (Å): 4.698 4.698 4.698
angles (deg): 90.00 90.00 90.00
Space group Pm-3m (No. 221)
Symmetry-distinct sites (fractional):
Be  0.000  0.000  0.000 [1 per cell]
Al  0.500  0.500  0.500 [1 per cell]
Ag  0.000  0.500  0.500 [3 per cell]

ΔH_f (0 K) = 961 meV per atom

=====

DFT (meta-GGA SCAN) results for a PBEsol-optimized structure of BeAl2Ag.

a b c (Å): 3.867 3.867 7.797
angles (deg): 90.00 90.00 90.00
Space group I-4m2 (No. 119)
Symmetry-distinct sites (fractional):
Be  0.000  0.000  0.000 [2 per cell]
Al  0.000  0.000  0.500 [2 per cell]
Al  0.000  0.500  0.750 [2 per cell]
Ag  0.000  0.500  0.250 [2 per cell]

ΔH_f (0 K) = 143 meV per atom

=====

DFT (meta-GGA SCAN) results for a PBEsol-optimized structure of Be4AlAg.

a b c (Å): 6.298 6.298 6.298
angles (deg): 90.00 90.00 90.00
Space group F-43m (No. 216)
Symmetry-distinct sites (fractional):
Be  0.124  0.124  0.376 [16 per cell]
Al  0.250  0.250  0.750 [4 per cell]
Ag  0.000  0.000  0.000 [4 per cell]

ΔH_f (0 K) = -14 meV per atom

=====

Here are the calculated theoretical density numbers, same order: 4853, 6150, 5261, 11308, 11318, 11272, 11311, 11458, 10620, 11297, 11232, 11269, 11223, 11130, 11437, 5992, 11276, 11263, 11225, 11265, 7131, 7542, 3906, 3148, 4605, 7158, 6080, 5760, 4868, 4545 (kg/m³).